*1*
NdTm2Al: relaxed, PBE.

```
NdTm2Al
1.0
-2.313 2.328 -1.247
-2.259 -0.886 2.537
3.505 6.338 5.331
Al Tm Nd
1 2 1
direct
0.500 0.500 0.000 Al
0.000 0.000 0.208 Tm
0.000 0.000 0.792 Tm
0.500 0.500 0.500 Nd
```

Density of states at the Fermi level in states/eV/f.u.: 3.02
Crystal system: tetragonal

*2*
NdTm2Al: relaxed, PBE.

```
NdTm2Al
1.0
-3.752 0.251 -3.736
3.477 -4.527 -3.796
-4.654 -2.202 4.525
Tm Nd Al
4 2 2
direct
0.500 0.173 0.827 Tm
0.000 0.828 0.649 Tm
0.000 0.351 0.172 Tm
0.000 0.827 0.173 Tm
0.500 0.177 0.352 Nd
0.500 0.648 0.823 Nd
0.500 0.668 0.332 Al
0.000 0.327 0.673 Al
```

Density of states at the Fermi level in states/eV/f.u.: 4.08
Crystal system: orthorhombic

*3*
NdTm2Al: relaxed, PBE.

```
NdTm2Al
1.0
-2.217 2.410 0.942
-4.257 -8.158 10.844
3.566 2.113 2.989
Tm Nd Al
4 2 2
direct
0.500 0.100 0.363 Tm
0.000 0.900 0.863 Tm
0.500 0.536 0.102 Tm
0.000 0.464 0.602 Tm
0.000 0.309 0.097 Nd
0.500 0.691 0.597 Nd
0.000 0.111 0.860 Al
0.500 0.889 0.360 Al
```

Density of states at the Fermi level in states/eV/f.u.: 4.45
Crystal system: orthorhombic

What is the stability order? It is *1*, *2*, *3*, from most stable to least stable.

*1*
NdTm4Al2: relaxed, PBE.

```
NdTm4Al2
1.0
-3.287 -2.883 2.946
0.941 -5.134 0.744
3.388 -0.996 7.524
Nd Al Tm
1 2 4
direct
0.000 0.000 0.000 Nd
0.282 0.282 0.153 Al
0.718 0.718 0.847 Al
0.579 0.579 0.264 Tm
0.846 0.846 0.463 Tm
0.421 0.421 0.736 Tm
0.154 0.154 0.537 Tm
```

Density of states at the Fermi level in states/eV/f.u.: 5.45
Crystal system: trigonal

*2*
NdTm4Al2: relaxed, PBE.

```
NdTm4Al2
1.0
5.582 0.000 0.000
0.000 5.582 0.000
-2.791 -2.791 6.361
Tm Nd Al
4 1 2
direct
0.000 0.500 0.000 Tm
0.500 0.000 0.000 Tm
0.750 0.250 0.500 Tm
0.250 0.750 0.500 Tm
0.000 0.000 0.000 Nd
0.384 0.384 0.768 Al
0.616 0.616 0.232 Al
```

Density of states at the Fermi level in states/eV/f.u.: 8.27
Crystal system: tetragonal

What is the stability order? It is *1*, *2*, from most stable to least stable.

*1*
Nd2TmAl3: relaxed, PBE.

```
Nd2TmAl3
1.0
-1.527 5.761 -1.011
0.719 -3.796 -4.649
-9.064 -2.317 0.490
Nd Al Tm
4 6 2
direct
0.333 0.667 0.564 Nd
0.667 0.333 0.064 Nd
0.667 0.333 0.436 Nd
0.333 0.667 0.936 Nd
0.360 0.180 0.750 Al
0.820 0.640 0.750 Al
0.180 0.820 0.250 Al
0.820 0.180 0.750 Al
0.640 0.820 0.250 Al
0.180 0.360 0.250 Al
0.000 0.000 0.000 Tm
0.000 0.000 0.500 Tm
```

Density of states at the Fermi level in states/eV/f.u.: 3.09
Crystal system: hexagonal

*2*
Nd2TmAl3: relaxed, PBE.

```
Nd2TmAl3
1.0
5.180 -0.003 0.021
2.585 7.782 0.010
-0.029 0.000 7.355
Nd Tm Al
4 2 6
direct
0.000 0.000 0.500 Nd
0.663 0.673 0.500 Nd
0.000 0.000 0.000 Nd
0.337 0.327 0.500 Nd
0.667 0.665 0.000 Tm
0.333 0.335 0.000 Tm
0.830 0.341 0.763 Al
0.170 0.659 0.237 Al
0.830 0.341 0.237 Al
0.170 0.659 0.763 Al
0.500 0.000 0.764 Al
0.500 0.000 0.236 Al
```

Density of states at the Fermi level in states/eV/f.u.: 2.24
Crystal system: monoclinic

What is the stability order? It is *1*, *2*, from most stable to least stable.

*1*
NdYAl: relaxed, PBE.

```
NdYAl
1.0
5.128 0.000 0.000
2.564 4.441 0.000
2.564 1.480 8.404
Al Y Nd
2 2 2
direct
0.252 0.252 0.243 Al
0.748 0.748 0.757 Al
0.374 0.374 0.879 Y
0.626 0.626 0.121 Y
0.124 0.124 0.629 Nd
0.876 0.876 0.371 Nd
```

Density of states at the Fermi level in states/eV/f.u.: 5.10
Crystal system: trigonal

*2*
NdYAl: relaxed, PBE.

```
NdYAl
1.0
-3.064 0.484 4.380
-2.287 -0.509 -4.832
-0.029 -6.651 0.714
Al Y Nd
2 2 2
direct
0.666 0.333 0.750 Al
0.334 0.667 0.250 Al
0.667 0.334 0.250 Y
0.333 0.666 0.750 Y
0.000 0.000 0.000 Nd
0.000 0.000 0.500 Nd
```

Density of states at the Fermi level in states/eV/f.u.: 3.62
Crystal system: hexagonal

*3*
NdYAl: relaxed, PBE.

```
NdYAl
1.0
-3.017 0.892 -1.533
0.383 -2.626 -2.281
-2.092 -3.335 6.171
Nd Al Y
1 1 1
direct
0.598 0.598 0.196 Nd
0.946 0.946 0.893 Al
0.306 0.306 0.611 Y
```

Density of states at the Fermi level in states/eV/f.u.: 2.16
Crystal system: tetragonal

What is the stability order? It is *2*, *3*, *1*, from most stable to least stable.